[1]
Compound: Er2TcCl
Source: Alexandria via LeMat-Bulk
Functional: PBE-GGA
Structure: relaxed

abc: 3.390 3.390 7.766
angles: 90.00 90.00 90.00
Fractional coordinates of all 4 atoms:
Er1 0.000 0.000 0.209
Er2 0.000 0.000 0.791
Tc1 0.500 0.500 0.000
Cl1 0.500 0.500 0.500

Calculated values
DOS at the Fermi energy: 2.1 states/eV/f.u.
ΔE_f (raw): -0.7196 eV per atom
energy above the most stable polymorph in this dataset: 0.000 eV/atom
raw total energy: -6.054 eV/atom
space-group type: No. 123

***

[2]
Compound: ErTcCl
Source: Alexandria via LeMat-Bulk
Functional: PBE-GGA
Structure: relaxed

abc: 11.334 11.334 11.334
angles: 20.46 20.46 20.46
Fractional coordinates of all 6 atoms:
Er1 0.065 0.065 0.065
Er2 0.935 0.935 0.935
Tc1 0.339 0.339 0.339
Tc2 0.661 0.661 0.661
Cl1 0.219 0.219 0.219
Cl2 0.781 0.781 0.781

Calculated values
DOS at the Fermi energy: 2.2 states/eV/f.u.
ΔE_f (raw): -1.0536 eV per atom
raw total energy: -6.645 eV/atom
space-group type: No. 166

***

[3]
Compound: Er2TcCl
Source: Alexandria via LeMat-Bulk
Functional: PBE-GGA
Structure: relaxed

abc: 9.994 9.994 9.994
angles: 18.54 18.54 18.54
Fractional coordinates of all 4 atoms:
Er1 0.090 0.090 0.090
Er2 0.910 0.910 0.910
Tc1 0.000 0.000 0.000
Cl1 0.500 0.500 0.500

Calculated values
DOS at the Fermi energy: 4.0 states/eV/f.u.
ΔE_f (raw): 0.0106 eV per atom
energy above the most stable polymorph in this dataset: 0.730 eV/atom
raw total energy: -5.324 eV/atom
space-group type: No. 166

***

[4]
Compound: ErTiCl
Source: Alexandria via LeMat-Bulk
Functional: PBE-GGA
Structure: relaxed

abc: 3.252 4.938 8.546
angles: 106.47 90.05 90.03
Fractional coordinates of all 6 atoms:
Er1 0.000 0.000 0.000
Er2 0.498 0.041 0.635
Ti1 0.497 0.634 0.249
Ti2 0.997 0.119 0.344
Cl1 0.497 0.483 0.502
Cl2 0.498 0.478 0.941

Calculated values
DOS at the Fermi energy: 2.9 states/eV/f.u.
ΔE_f (raw): -0.5463 eV per atom
raw total energy: -5.314 eV/atom
space-group type: No. 1